1.
{"formula": "ZnOsCl2", "functional": "meta-GGA SCAN", "state": "PBEsol geometry", "e_form_raw_ev_per_atom": 0.739, "polymorph_energy_mev_per_atom": 410.5, "lattice_angstrom": [[3.020, -0.017, -0.027], [-1.254, 4.898, 0.004], [-1.254, -2.247, 4.352]], "species": ["Cl", "Cl", "Os", "Zn"], "frac_coords": [[0.000, 0.500, 0.000], [0.000, 0.000, 0.500], [0.000, 0.000, 0.000], [0.000, 0.500, 0.500]]}


2.
{"formula": "Bi2CN", "functional": "meta-GGA SCAN", "state": "PBEsol geometry", "e_form_raw_ev_per_atom": 2.008, "lattice_angstrom": [[-1.911, 2.872, -2.844], [-4.124, 1.530, 0.802], [-0.609, 4.263, 1.200]], "species": ["Bi", "Bi", "C", "N"], "frac_coords": [[0.750, 0.750, 0.750], [0.250, 0.250, 0.250], [0.000, 0.000, 0.000], [0.500, 0.500, 0.500]]}


3.
{"formula": "MgZr3Se", "functional": "meta-GGA SCAN", "state": "PBEsol geometry", "e_form_raw_ev_per_atom": 0.990, "lattice_angstrom": [[4.981, 0.000, 0.000], [0.000, 4.981, 0.000], [0.000, 0.000, 4.981]], "species": ["Se", "Zr", "Zr", "Zr", "Mg"], "frac_coords": [[0.500, 0.500, 0.500], [0.000, 0.000, 0.500], [0.500, 0.000, 0.000], [0.000, 0.500, 0.000], [0.000, 0.000, 0.000]]}


4.
{"formula": "Sc2Co", "functional": "meta-GGA SCAN", "state": "PBEsol geometry", "ef_mev_per_atom": -112, "lattice_angstrom": [[4.269, 0.000, 0.000], [0.000, 6.549, 0.000], [0.000, -3.274, 5.671]], "species": ["Sc", "Sc", "Sc", "Sc", "Sc", "Sc", "Co", "Co", "Co"], "frac_coords": [[0.500, 0.591, 0.000], [0.000, 0.000, 0.264], [0.500, 0.409, 0.409], [0.500, 0.000, 0.591], [0.000, 0.264, 0.000], [0.000, 0.736, 0.736], [0.000, 0.667, 0.333], [0.000, 0.333, 0.667], [0.500, 0.000, 0.000]]}


5.
{"formula": "BaHgTe2", "functional": "meta-GGA SCAN", "state": "PBEsol geometry", "e_form_raw_ev_per_atom": -0.971, "lattice_angstrom": [[5.423, 0.000, 0.000], [2.712, 4.697, 0.000], [2.712, 1.566, 8.247]], "species": ["Ba", "Hg", "Te", "Te"], "frac_coords": [[0.500, 0.500, 0.500], [0.000, 0.000, 0.000], [0.106, 0.106, 0.683], [0.894, 0.894, 0.317]]}


6.
{"formula": "SrCo2Ir", "functional": "meta-GGA SCAN", "state": "PBEsol geometry", "ef_mev_per_atom": 710, "lattice_angstrom": [[-3.911, 0.019, 1.112], [-0.249, -3.977, -0.805], [3.110, 1.178, 3.482]], "species": ["Sr", "Co", "Co", "Ir"], "frac_coords": [[0.250, 0.750, 0.500], [0.750, 0.250, 0.500], [0.000, 0.000, 0.000], [0.500, 0.500, 0.000]]}


7.
{"formula": "Co2SiIr", "functional": "meta-GGA SCAN", "state": "PBEsol geometry", "e_form_raw_ev_per_atom": -0.157, "lattice_angstrom": [[2.605, 0.000, 0.000], [0.000, 4.307, 0.008], [0.000, -1.428, 4.063]], "species": ["Co", "Co", "Ir", "Si"], "frac_coords": [[0.000, 0.500, 0.000], [0.000, 0.000, 0.500], [0.500, 0.000, 0.000], [0.500, 0.500, 0.500]]}


8.
{"formula": "Te2IrPt", "functional": "meta-GGA SCAN", "state": "PBEsol geometry", "e_form_raw_ev_per_atom": 0.375, "polymorph_energy_mev_per_atom": 622.2, "lattice_angstrom": [[-2.923, -0.571, -0.742], [-0.759, -1.930, 4.475], [0.508, 5.813, -0.124]], "species": ["Pt", "Te", "Te", "Ir"], "frac_coords": [[0.236, 0.736, 0.471], [0.778, 0.278, 0.557], [0.984, 0.984, 0.968], [0.502, 0.502, 0.004]]}


9.
{"formula": "HfSc3P", "functional": "meta-GGA SCAN", "state": "PBEsol geometry", "ef_mev_per_atom": 894, "lattice_angstrom": [[4.987, 0.000, 0.000], [0.000, 4.987, 0.000], [0.000, 0.000, 4.987]], "species": ["Sc", "Sc", "Sc", "Hf", "P"], "frac_coords": [[0.500, 0.000, 0.000], [0.000, 0.000, 0.500], [0.000, 0.500, 0.000], [0.000, 0.000, 0.000], [0.500, 0.500, 0.500]]}


10.
{"formula": "Ca2FeRe", "functional": "meta-GGA SCAN", "state": "PBEsol geometry", "ef_mev_per_atom": 900, "polymorph_energy_mev_per_atom": 454.7, "lattice_angstrom": [[4.003, 0.000, 0.000], [0.000, 4.003, 0.000], [0.000, 0.000, 4.644]], "species": ["Re", "Fe", "Ca", "Ca"], "frac_coords": [[0.000, 0.000, 0.500], [0.500, 0.500, 0.500], [0.000, 0.500, 0.000], [0.500, 0.000, 0.000]]}


11.
{"formula": "MnNiP2S", "functional": "meta-GGA SCAN", "state": "PBEsol geometry", "e_form_raw_ev_per_atom": 0.770, "lattice_angstrom": [[4.244, 0.000, 0.000], [0.000, 4.244, 0.000], [0.000, 0.000, 4.399]], "species": ["S", "P", "P", "Mn", "Ni"], "frac_coords": [[0.000, 0.000, 0.500], [0.500, 0.000, 0.000], [0.000, 0.500, 0.000], [0.000, 0.000, 0.000], [0.500, 0.500, 0.500]]}


12.
{"formula": "YCd4Hg", "functional": "meta-GGA SCAN", "state": "PBEsol geometry", "ef_mev_per_atom": -127, "lattice_angstrom": [[-0.894, -1.640, 5.451], [-4.141, -3.818, 1.218], [1.400, -5.334, 1.671]], "species": ["Hg", "Cd", "Cd", "Cd", "Cd", "Y"], "frac_coords": [[0.750, 0.750, 0.750], [0.375, 0.375, 0.375], [0.375, 0.375, 0.876], [0.375, 0.876, 0.375], [0.876, 0.375, 0.375], [0.000, 0.000, 0.000]]}